Here is a geometry-optimized SrNi2Se structure from Alexandria. Energies are from PBE.

Calculated values
ρ = 5.34 Mg/m³
Formation energy (no corrections) = -44.2 kJ/mol of atoms
Symmetry = No. 141
Volume = 176.7 Å³ per cell
M_tot = 0.00 μB/f.u.

Lattice parameters (Å, degrees): 4.795 4.795 8.398 73.41 73.41 90.00
Positions (direct):
Ni 0.875 0.625 0.750
Ni 0.375 0.625 0.750
Ni 0.375 0.625 0.250
Ni 0.375 0.125 0.250
Se 0.500 0.500 0.000
Se 0.250 0.750 0.500
Sr 0.750 0.250 0.500
Sr 0.000 0.000 0.000